(w)
Mg2CrCl: optimized geometry, PBE-GGA.

Cell lengths 3.198, 3.303, 7.949 Å; angles 90.14, 90.00, 90.00 degrees
Site moments in Bohr magnetons follow the coordinates.
Positions (direct):
Cl 0.500 0.250 0.250  0.00
Mg 0.000 0.251 0.985  -0.02
Mg 0.000 0.249 0.515  -0.02
Cr 0.500 0.750 0.750  3.56

=====

(x)
Mg2CrCl: optimized geometry, PBE-GGA.

Cell lengths 5.065, 5.065, 5.065 Å; angles 60.00, 60.00, 60.00 degrees
Site moments in Bohr magnetons follow the coordinates.
Positions (direct):
Mg 0.000 0.000 0.000  0.00
Cr 0.750 0.750 0.750  4.08
Cl 0.500 0.500 0.500  0.09
Mg 0.250 0.250 0.250  -0.03

=====

Which of them is least stable? Easy: (x).

=====

(w)
MgCr2Cl: optimized geometry, PBE-GGA.

Cell lengths 5.602, 5.602, 5.602 Å; angles 146.84, 124.34, 66.35 degrees
Site moments in Bohr magnetons follow the coordinates.
Positions (direct):
Cr 0.022 0.022 0.000  3.85
Mg 0.750 0.250 0.500  -0.03
Cl 0.250 0.750 0.500  0.05
Cr 0.478 0.478 0.000  3.85

=====

(x)
MgCr2Cl: optimized geometry, PBE-GGA.

Cell lengths 5.887, 5.887, 5.887 Å; angles 149.78, 130.14, 59.43 degrees
Site moments in Bohr magnetons follow the coordinates.
Positions (direct):
Mg 0.470 0.470 0.000  0.01
Cr 0.007 0.007 0.000  -3.18
Cr 0.818 0.318 0.500  3.43
Cl 0.205 0.705 0.500  0.01

=====

Which of them is least stable? Easy: (w).

=====

(w)
Mg3CrCl: optimized geometry, PBE-GGA.

Cell lengths 5.385, 5.385, 5.385 Å; angles 90.00, 90.00, 90.00 degrees
Site moments in Bohr magnetons follow the coordinates.
Positions (direct):
Mg 0.500 0.000 0.000  0.02
Mg 0.000 0.500 0.000  0.00
Cr 0.000 0.000 0.000  3.93
Cl 0.500 0.500 0.500  0.04
Mg 0.000 0.000 0.500  -0.01

=====

(x)
Mg3CrCl: optimized geometry, PBE-GGA.

Cell lengths 4.777, 4.777, 4.777 Å; angles 90.00, 90.00, 90.00 degrees
Positions (direct):
Mg 0.000 0.000 0.500
Mg 0.000 0.500 0.000
Cl 0.000 0.000 0.000
Cr 0.500 0.500 0.500
Mg 0.500 0.000 0.000

=====

Which of them is least stable? Easy: (x).

=====

(w)
MgCr3Cl: optimized geometry, PBE-GGA.

Cell lengths 4.174, 4.174, 4.174 Å; angles 90.00, 90.00, 90.00 degrees
Site moments in Bohr magnetons follow the coordinates.
Positions (direct):
Cr 0.000 0.500 0.000  0.17
Cl 0.000 0.000 0.000  -0.01
Mg 0.500 0.500 0.500  0.00
Cr 0.000 0.000 0.500  0.32
Cr 0.500 0.000 0.000  0.11

=====

(x)
MgCr3Cl: optimized geometry, PBE-GGA.

Cell lengths 5.150, 5.150, 5.150 Å; angles 90.00, 90.00, 90.00 degrees
Site moments in Bohr magnetons follow the coordinates.
Positions (direct):
Cr 0.500 0.000 0.000  3.89
Cl 0.500 0.500 0.500  0.06
Cr 0.000 0.000 0.500  4.17
Cr 0.000 0.500 0.000  4.05
Mg 0.000 0.000 0.000  0.00

=====

Which of them is least stable? Easy: (x).

=====

(w)
MgCrPCl2: optimized geometry, PBE-GGA.

Cell lengths 4.553, 4.553, 5.984 Å; angles 90.00, 90.00, 90.00 degrees
Site moments in Bohr magnetons follow the coordinates.
Positions (direct):
Cr 0.500 0.500 0.500  4.04
Cl 0.500 0.000 0.000  -0.04
Cl 0.000 0.500 0.000  -0.04
Mg 0.000 0.000 0.000  -0.01
P 0.000 0.000 0.500  -0.60

=====

(x)
MgCrPCl2: optimized geometry, PBE-GGA.

Cell lengths 4.676, 4.676, 4.931 Å; angles 90.00, 90.00, 90.00 degrees
Site moments in Bohr magnetons follow the coordinates.
Positions (direct):
P 0.000 0.000 0.500  -0.24
Cl 0.500 0.000 0.000  -0.01
Cr 0.000 0.000 0.000  3.04
Cl 0.000 0.500 0.000  -0.01
Mg 0.500 0.500 0.500  0.04

=====

Which of them is least stable? Easy: (w).

=====

(w)
MgCrP2Cl: optimized geometry, PBE-GGA.

Cell lengths 4.787, 4.787, 4.692 Å; angles 90.00, 90.00, 90.00 degrees
Site moments in Bohr magnetons follow the coordinates.
Positions (direct):
Cl 0.000 0.000 0.500  0.11
P 0.000 0.500 0.000  0.23
Cr 0.500 0.500 0.500  -4.01
P 0.500 0.000 0.000  0.23
Mg 0.000 0.000 0.000  -0.01

=====

(x)
MgCrP2Cl: optimized geometry, PBE-GGA.

Cell lengths 4.374, 4.374, 5.158 Å; angles 90.00, 90.00, 90.00 degrees
Site moments in Bohr magnetons follow the coordinates.
Positions (direct):
Cl 0.000 0.000 0.500  -0.02
Mg 0.500 0.500 0.500  0.01
P 0.500 0.000 0.000  -0.04
Cr 0.000 0.000 0.000  0.65
P 0.000 0.500 0.000  -0.04

=====

Which of them is least stable? Easy: (w).